VASP calculation (GGA-PBE) on crystalline Ta2AgCl at its relaxed geometry.

For the energy above the lowest structure with this stoichiometry, the calculation gives 0.855 eV per atom. The calculation puts the calculated total energy at -6.298 eV/atom. Its density of states at the Fermi level is 2.450 states/eV/f.u. The calculation puts the uncorrected formation energy at 0.80 eV per atom.

a = 4.0159 Å, b = 4.0159 Å, c = 19.3644 Å
α = 90.00°, β = 90.00°, γ = 90.00°
Space group I-42d (No. 122)
Symmetry-distinct sites (fractional):
Ta: 0.2476 0.2500 0.1250 (multiplicity 8)
Ag: 0.0000 0.0000 0.0000 (multiplicity 4)
Cl: 0.0000 0.0000 0.5000 (multiplicity 4)